# 1
The following is a DFT calculation (GGA-PBE) of an optimized crystal structure of SrMg4AlAg2.

The calculation puts the magnetic moment at 0.0 μB per cell. The calculation puts the total energy at -2.26 eV/atom. The crystal system is trigonal. Its formation energy from the elements is -0.073 eV per atom. The value obtained for the density of states at the Fermi level is 0.54 states/eV per atom.

Cell: 4.697 4.697 10.386 Å, 76.93 76.93 60.00°
Fractional coordinates of all 8 atoms:
Sr: 0.000 0.000 0.000
Mg: 0.406 0.406 0.781
Mg: 0.868 0.868 0.395
Mg: 0.132 0.132 0.605
Mg: 0.594 0.594 0.219
Al: 0.500 0.500 0.500
Ag: 0.762 0.762 0.714
Ag: 0.238 0.238 0.286

=====

# 2
The following is a DFT calculation (GGA-PBE) of an optimized crystal structure of Pm2Sm3Ho6Tm.

The calculation puts the magnetic moment at 0.0 μB per cell. The calculation puts the total energy at -4.62 eV/atom. The crystal system is monoclinic. Its formation energy from the elements is 0.016 eV per atom. The value obtained for the density of states at the Fermi level is 1.22 states/eV per atom.

Cell: 6.182 6.182 11.787 Å, 95.00 95.00 119.97°
Fractional coordinates of all 12 atoms:
Pm: 0.334 0.666 0.000
Pm: 0.666 0.334 0.000
Sm: 0.167 0.833 0.500
Sm: 0.833 0.167 0.500
Sm: 0.500 0.500 0.500
Ho: 0.917 0.584 0.751
Ho: 0.751 0.751 0.250
Ho: 0.083 0.416 0.249
Ho: 0.584 0.917 0.751
Ho: 0.249 0.249 0.750
Ho: 0.416 0.083 0.249
Tm: 0.000 0.000 0.000

=====

# 3
The following is a DFT calculation (GGA-PBE) of an optimized crystal structure of Tb2Pm2Er15.

The calculation puts the magnetic moment at 0.0 μB per cell. The calculation puts the total energy at -4.30 eV/atom. The crystal system is trigonal. Its formation energy from the elements is 0.292 eV per atom. The value obtained for the density of states at the Fermi level is 1.72 states/eV per atom.

Cell: 8.661 8.661 8.661 Å, 79.96 79.96 79.96°
Fractional coordinates of all 19 atoms:
Tb: 0.671 0.671 0.671
Tb: 0.329 0.329 0.329
Pm: 0.884 0.884 0.884
Pm: 0.116 0.116 0.116
Er: 0.000 0.500 0.000
Er: 0.000 0.000 0.500
Er: 0.500 0.000 0.000
Er: 0.303 0.000 0.697
Er: 0.697 0.303 0.000
Er: 0.000 0.697 0.303
Er: 0.303 0.697 0.000
Er: 0.000 0.303 0.697
Er: 0.697 0.000 0.303
Er: 0.368 0.848 0.368
Er: 0.368 0.368 0.848
Er: 0.848 0.368 0.368
Er: 0.632 0.152 0.632
Er: 0.632 0.632 0.152
Er: 0.152 0.632 0.632

=====

# 4
The following is a DFT calculation (GGA-PBE) of an optimized crystal structure of Pm3B2Pd9Pt.

The calculation puts the magnetic moment at 0.0 μB per cell. The calculation puts the total energy at -5.99 eV/atom. The crystal system is trigonal. Its formation energy from the elements is -0.628 eV per atom. The value obtained for the density of states at the Fermi level is 0.31 states/eV per atom.

Cell: 5.754 5.754 9.453 Å, 90.00 90.00 120.00°
Fractional coordinates of all 15 atoms:
Pm: 0.333 0.667 0.602
Pm: 0.000 0.000 0.000
Pm: 0.667 0.333 0.398
B: 0.333 0.667 0.145
B: 0.667 0.333 0.855
Pd: 0.835 0.165 0.727
Pd: 0.835 0.670 0.727
Pd: 0.330 0.165 0.727
Pd: 0.670 0.835 0.273
Pd: 0.165 0.330 0.273
Pd: 0.165 0.835 0.273
Pd: 0.500 0.000 0.000
Pd: 0.000 0.500 0.000
Pd: 0.500 0.500 0.000
Pt: 0.000 0.000 0.500

=====

# 5
The following is a DFT calculation (GGA-PBE) of an optimized crystal structure of HfRh3.

The calculation puts the magnetic moment at 0.0 μB per cell. The calculation puts the total energy at -8.52 eV/atom. The crystal system is orthorhombic. Its formation energy from the elements is -0.520 eV per atom. The value obtained for the density of states at the Fermi level is 1.05 states/eV per atom.

Cell: 2.942 4.776 5.250 Å, 117.05 106.27 90.00°
Fractional coordinates of all 4 atoms:
Rh: 0.249 0.587 0.498
Rh: 0.500 0.495 0.000
Rh: 0.751 0.088 0.502
Hf: 0.000 0.997 0.000

=====

# 6
The following is a DFT calculation (GGA-PBE) of an optimized crystal structure of SrLiCr4.

The calculation puts the magnetic moment at 0.0 μB per cell. The calculation puts the total energy at -6.06 eV/atom. The crystal system is cubic. Its formation energy from the elements is 0.951 eV per atom. The value obtained for the density of states at the Fermi level is 1.34 states/eV per atom.

Cell: 5.130 5.130 5.130 Å, 60.00 60.00 60.00°
Fractional coordinates of all 6 atoms:
Sr: 0.000 0.000 0.000
Li: 0.750 0.750 0.750
Cr: 0.868 0.377 0.377
Cr: 0.377 0.377 0.868
Cr: 0.377 0.868 0.377
Cr: 0.377 0.377 0.377

=====

# 7
The following is a DFT calculation (GGA-PBE) of an optimized crystal structure of ScSbTe2F.

The calculation puts the magnetic moment at 0.0 μB per cell. The calculation puts the total energy at -4.13 eV/atom. The crystal system is tetragonal. For the raw formation energy, the calculation gives -409 meV per atom. The energy relative to the lowest polymorph listed for this composition is 0 meV per atom. The value obtained for the density of states at the Fermi level is 0.66 states/eV per atom.

Cell: 5.303 5.303 4.434 Å, 90.00 90.00 90.00°
Fractional coordinates of all 5 atoms:
Sc: 0.500 0.500 0.500
Sb: 0.000 0.000 0.500
Te: 0.000 0.500 0.000
Te: 0.500 0.000 0.000
F: 0.000 0.000 0.000

=====

# 8
The following is a DFT calculation (GGA-PBE) of an optimized crystal structure of RbLaS2.

The calculation puts the magnetic moment at 0.2 μB per cell. The calculation puts the total energy at -4.28 eV/atom. The crystal system is trigonal. For the raw formation energy, the calculation gives -740 meV per atom. The value obtained for the density of states at the Fermi level is 1.05 states/eV per atom.

Cell: 9.294 9.294 9.294 Å, 31.94 31.94 31.94°
Site moments in Bohr magnetons follow the coordinates.
Fractional coordinates of all 4 atoms:
S: 0.904 0.904 0.904  0.06
S: 0.096 0.096 0.096  0.06
Rb: 0.500 0.500 0.500  0.00
La: 0.000 0.000 0.000  0.02

=====

# 9
The following is a DFT calculation (GGA-PBE) of an optimized crystal structure of Ca2SiCl.

The calculation puts the magnetic moment at 0.0 μB per cell. The calculation puts the total energy at -3.75 eV/atom. The crystal system is orthorhombic. For the raw formation energy, the calculation gives -933 meV per atom. The energy relative to the lowest polymorph listed for this composition is 135 meV per atom. The value obtained for the density of states at the Fermi level is 0.25 states/eV per atom.

Cell: 8.038 8.038 8.038 Å, 153.54 152.08 38.85°
Fractional coordinates of all 4 atoms:
Ca: 0.057 0.057 0.000
Ca: 0.287 0.787 0.500
Cl: 0.457 0.457 0.000
Si: 0.699 0.199 0.500

=====

# 10
The following is a DFT calculation (GGA-PBE) of an optimized crystal structure of Y6SbTe3P2.

The calculation puts the magnetic moment at 0.0 μB per cell. The calculation puts the total energy at -6.73 eV/atom. The crystal system is monoclinic. For the raw formation energy, the calculation gives -1468 meV per atom. The value obtained for the density of states at the Fermi level is 0.37 states/eV per atom.

Cell: 4.203 8.622 9.593 Å, 104.30 102.65 90.00°
Fractional coordinates of all 12 atoms:
Y: 0.330 0.880 0.660
Y: 0.677 0.564 0.355
Y: 0.670 0.120 0.340
Y: 0.016 0.255 0.032
Y: 0.984 0.745 0.968
Y: 0.323 0.436 0.645
Sb: 0.500 0.000 0.000
Te: 0.500 0.500 0.000
Te: 0.838 0.167 0.677
Te: 0.162 0.833 0.323
P: 0.831 0.662 0.662
P: 0.169 0.338 0.338

=====

# 11
The following is a DFT calculation (GGA-PBE) of an optimized crystal structure of BaLi2Ru.

The calculation puts the magnetic moment at 0.0 μB per cell. The calculation puts the total energy at -3.27 eV/atom. The crystal system is tetragonal. Its formation energy from the elements is 0.487 eV per atom. The energy relative to the lowest polymorph listed for this composition is 114 meV per atom. The value obtained for the density of states at the Fermi level is 1.06 states/eV per atom.

Cell: 5.517 5.517 5.517 Å, 134.41 134.41 66.44°
Fractional coordinates of all 4 atoms:
Ba: 0.750 0.250 0.500
Li: 0.000 0.000 0.000
Li: 0.500 0.500 0.000
Ru: 0.250 0.750 0.500

=====

# 12
The following is a DFT calculation (GGA-PBE) of an optimized crystal structure of TlRe2Hg.

The calculation puts the magnetic moment at 0.0 μB per cell. The calculation puts the total energy at -5.58 eV/atom. The crystal system is tetragonal. Its formation energy from the elements is 1.308 eV per atom. The energy relative to the lowest polymorph listed for this composition is 860 meV per atom. The value obtained for the density of states at the Fermi level is 1.35 states/eV per atom.

Cell: 5.345 5.345 5.345 Å, 135.83 135.83 64.24°
Fractional coordinates of all 4 atoms:
Hg: 0.750 0.250 0.500
Re: 0.000 0.000 0.000
Re: 0.500 0.500 0.000
Tl: 0.250 0.750 0.500